Entry 1
First-principles (PBE) data for a relaxed structure of NaSrPO4, as listed in Alexandria via LeMat-Bulk.

a b c (Å): 5.4464 5.4464 7.3482
angles (deg): 90.00 90.00 116.86
Fractional coordinates of all 14 atoms:
1 O 0.7467 0.2533 0.5800
2 O 0.2787 0.1667 0.2500
3 O 0.1667 0.2787 0.7500
4 O 0.2533 0.7467 0.0800
5 O 0.8333 0.7213 0.2500
6 O 0.2533 0.7467 0.4200
7 O 0.7467 0.2533 0.9200
8 O 0.7213 0.8333 0.7500
9 P 0.8454 0.1546 0.7500
10 P 0.1546 0.8454 0.2500
11 Na 0.5000 0.5000 0.0000
12 Na 0.5000 0.5000 0.5000
13 Sr 0.1900 0.8100 0.7500
14 Sr 0.8100 0.1900 0.2500

Properties
N(E_F) = 0.00 states/eV/f.u.
M_tot = 0.00 μB/cell

Entry 2
First-principles (PBE) data for a relaxed structure of NaSrPO4, as listed in Alexandria via LeMat-Bulk.

a b c (Å): 5.5082 7.1468 9.7965
angles (deg): 90.00 90.00 90.00
Fractional coordinates of all 28 atoms:
1 Sr 0.2500 0.0010 0.1996
2 Sr 0.7500 0.4990 0.6996
3 Sr 0.7500 0.9990 0.8004
4 Sr 0.2500 0.5010 0.3004
5 O 0.2500 0.8129 0.4349
6 O 0.0177 0.7909 0.6574
7 O 0.2500 0.0078 0.9287
8 O 0.0177 0.2909 0.8426
9 O 0.7500 0.9922 0.0713
10 O 0.4823 0.2909 0.8426
11 O 0.7500 0.4922 0.4287
12 O 0.2500 0.3129 0.0651
13 O 0.9823 0.7091 0.1574
14 O 0.7500 0.6871 0.9349
15 O 0.4823 0.7909 0.6574
16 O 0.7500 0.1871 0.5651
17 O 0.5177 0.2091 0.3426
18 O 0.5177 0.7091 0.1574
19 O 0.9823 0.2091 0.3426
20 O 0.2500 0.5078 0.5713
21 P 0.7500 0.7753 0.0815
22 P 0.2500 0.2247 0.9185
23 P 0.7500 0.2753 0.4185
24 P 0.2500 0.7247 0.5815
25 Na 0.2500 0.6721 0.9439
26 Na 0.7500 0.8279 0.4439
27 Na 0.2500 0.1721 0.5561
28 Na 0.7500 0.3279 0.0561

Properties
N(E_F) = 0.00 states/eV/f.u.
M_tot = 0.00 μB/cell

The data favor entry 2; the next most stable structure lies 14 meV per atom above it.

Entry 1
First-principles (PBE) data for a relaxed structure of NaSrPO2, as listed in Alexandria via LeMat-Bulk.

a b c (Å): 4.7564 4.7564 6.0295
angles (deg): 90.00 90.00 90.00
Fractional coordinates of all 5 atoms:
1 Sr 0.0000 0.0000 0.0000
2 O 0.5000 0.0000 0.0000
3 O 0.0000 0.5000 0.0000
4 Na 0.5000 0.5000 0.5000
5 P 0.0000 0.0000 0.5000

Properties
N(E_F) = 4.99 states/eV/f.u.
M_tot = 4.00 μB/cell

Entry 2
First-principles (PBE) data for a relaxed structure of NaSrPO2, as listed in Alexandria via LeMat-Bulk.

a b c (Å): 4.4280 4.4280 4.9093
angles (deg): 90.00 90.00 90.00
Fractional coordinates of all 5 atoms:
1 O 0.5000 0.0000 0.0000
2 O 0.0000 0.5000 0.0000
3 Sr 0.5000 0.5000 0.5000
4 Na 0.0000 0.0000 0.0000
5 P 0.0000 0.0000 0.5000

Properties
N(E_F) = 4.11 states/eV/f.u.
M_tot = 3.19 μB/cell

Entry 3
First-principles (PBE) data for a relaxed structure of NaSrPO2, as listed in Alexandria via LeMat-Bulk.

a b c (Å): 4.2715 4.6354 4.2715
angles (deg): 90.00 90.00 90.00
Fractional coordinates of all 5 atoms:
1 O 0.5000 0.0000 0.0000
2 O 0.0000 0.0000 0.5000
3 Sr 0.5000 0.5000 0.5000
4 P 0.0000 0.0000 0.0000
5 Na 0.0000 0.5000 0.0000

Properties
N(E_F) = 0.22 states/eV/f.u.
M_tot = 0.00 μB/cell

The data favor entry 3; the next most stable structure lies 240 meV per atom above it.

Entry 1
First-principles (PBE) data for a relaxed structure of NaTaP2O, as listed in Alexandria via LeMat-Bulk.

a b c (Å): 4.9807 4.9807 3.9376
angles (deg): 90.00 90.00 90.00
Fractional coordinates of all 5 atoms:
1 O 0.0000 0.0000 0.5000
2 Na 0.5000 0.5000 0.5000
3 P 0.0000 0.5000 0.0000
4 P 0.5000 0.0000 0.0000
5 Ta 0.0000 0.0000 0.0000

Properties
N(E_F) = 4.79 states/eV/f.u.
M_tot = 0.54 μB/cell

Entry 2
First-principles (PBE) data for a relaxed structure of NaTaP2O, as listed in Alexandria via LeMat-Bulk.

a b c (Å): 4.6390 4.6390 3.7903
angles (deg): 90.00 90.00 90.00
Fractional coordinates of all 5 atoms:
1 Na 0.0000 0.0000 0.0000
2 P 0.5000 0.0000 0.0000
3 P 0.0000 0.5000 0.0000
4 O 0.0000 0.0000 0.5000
5 Ta 0.5000 0.5000 0.5000

Properties
N(E_F) = 5.25 states/eV/f.u.
M_tot = 0.00 μB/cell

The data favor entry 1; the next most stable structure lies 1792 meV per atom above it.